An optimized crystal structure of HoSc3Pt2. Source: Alexandria via LeMat-Bulk, functional PBE.

Unit cell a=4.5386 b=8.3559 c=6.7921 alpha=90.00 beta=90.00 gamma=90.00
Fractional coordinates of all 12 atoms:
Ho (0.0000, 0.0748, 0.0000)
Ho (0.0000, 0.9252, 0.5000)
Sc (0.0000, 0.3325, 0.6312)
Sc (0.0000, 0.6675, 0.1312)
Sc (0.5000, 0.1838, 0.3426)
Sc (0.5000, 0.4239, 0.9709)
Sc (0.5000, 0.5761, 0.4709)
Sc (0.5000, 0.8162, 0.8426)
Pt (0.0000, 0.3514, 0.2334)
Pt (0.0000, 0.6486, 0.7334)
Pt (0.5000, 0.1543, 0.7371)
Pt (0.5000, 0.8457, 0.2371)

SG: No. 26
energy relative to the elements: -991 meV per atom
electronic total energy: -83.20 eV/cell
volume: 21.47 Å³/atom

An optimized crystal structure of Sc3TcO. Source: Alexandria via LeMat-Bulk, functional PBE.

Unit cell a=7.1920 b=7.1920 c=6.1318 alpha=111.29 beta=111.29 gamma=37.58
Fractional coordinates of all 10 atoms:
Sc (0.0465, 0.0465, 0.2815)
Sc (0.2905, 0.2905, 0.7180)
Sc (0.3727, 0.3727, 0.2717)
Sc (0.6273, 0.6273, 0.7283)
Sc (0.7095, 0.7095, 0.2820)
Sc (0.9535, 0.9535, 0.7185)
Tc (0.1602, 0.1602, 0.9515)
Tc (0.8398, 0.8398, 0.0485)
O (0.2176, 0.2176, 0.3425)
O (0.7824, 0.7824, 0.6575)

SG: No. 12
polymorph energy (0 for the lowest one): 0.257 eV/atom
electronic total energy: -79.29 eV/cell
volume: 17.86 Å³/atom
raw formation energy: -1.0652 eV per atom

An optimized crystal structure of Nd4Sm3Th. Source: Alexandria via LeMat-Bulk, functional PBE.

Unit cell a=12.3466 b=12.3466 c=6.3618 alpha=104.80 beta=104.80 gamma=17.08
Fractional coordinates of all 8 atoms:
Nd (0.1235, 0.1235, 0.4524)
Nd (0.2506, 0.2506, 0.2510)
Nd (0.7494, 0.7494, 0.7490)
Nd (0.8765, 0.8765, 0.5476)
Sm (0.3780, 0.3780, 0.0424)
Sm (0.5000, 0.5000, 0.5000)
Sm (0.6220, 0.6220, 0.9576)
Th (0.0000, 0.0000, 0.0000)

SG: No. 12
energy relative to the elements: 18 meV per atom
polymorph energy (0 for the lowest one): 0.000 eV/atom
electronic total energy: -40.50 eV/cell
volume: 34.39 Å³/atom

An optimized crystal structure of SrY2Cd. Source: Alexandria via LeMat-Bulk, functional PBE.

Unit cell a=3.7572 b=3.7572 c=9.4653 alpha=90.00 beta=90.00 gamma=90.00
Fractional coordinates of all 4 atoms:
Sr (0.0000, 0.0000, 0.0000)
Y (0.0000, 0.0000, 0.5636)
Y (0.5000, 0.5000, 0.3187)
Cd (0.5000, 0.5000, 0.7558)

SG: No. 99
energy relative to the elements: -98 meV per atom
electronic total energy: -15.92 eV/cell
volume: 33.40 Å³/atom

An optimized crystal structure of UIBr2. Source: Alexandria via LeMat-Bulk, functional PBE.

Unit cell a=4.0867 b=9.2821 c=7.8849 alpha=90.00 beta=104.96 gamma=90.00
Fractional coordinates of all 8 atoms:
U (0.2359, 0.2500, 0.4718)
U (0.7641, 0.7500, 0.5282)
I (0.4173, 0.7500, 0.8357)
I (0.5827, 0.2500, 0.1643)
Br (0.1647, 0.5700, 0.3287)
Br (0.1647, 0.9300, 0.3287)
Br (0.8353, 0.0700, 0.6713)
Br (0.8353, 0.4300, 0.6713)

SG: No. 11
polymorph energy (0 for the lowest one): 0.000 eV/atom
electronic total energy: -41.31 eV/cell
volume: 36.12 Å³/atom
raw formation energy: -1.1182 eV per atom

An optimized crystal structure of LiPr2Zn3Ge4. Source: Alexandria via LeMat-Bulk, functional PBE.

Unit cell a=4.3524 b=4.3524 c=10.4850 alpha=90.00 beta=90.00 gamma=90.00
Fractional coordinates of all 10 atoms:
Li (0.0000, 0.0000, 0.0000)
Pr (0.0000, 0.5000, 0.7447)
Pr (0.5000, 0.0000, 0.2553)
Zn (0.0000, 0.5000, 0.3686)
Zn (0.5000, 0.0000, 0.6314)
Zn (0.5000, 0.5000, 0.0000)
Ge (0.0000, 0.0000, 0.5000)
Ge (0.0000, 0.5000, 0.1366)
Ge (0.5000, 0.0000, 0.8634)
Ge (0.5000, 0.5000, 0.5000)

SG: No. 115
energy relative to the elements: -472 meV per atom
electronic total energy: -38.48 eV/cell
volume: 19.86 Å³/atom

The D(E_F) results, record by record, are as follows: 12.96 3.16 11.09 5.92 7.36 2.03 states/eV per cell.